No. 1
VASP calculation (PBEsol) on a relaxed CsIn3Pd crystal.

Properties
ΔE_f (eV/atom): -0.148

Lattice parameters (Å, degrees): 5.2589 5.2589 5.2589 90.00 90.00 90.00
Last column: nearest neighbours and their distance in Å.
Space group Pm-3m (No. 221)
Inequivalent atoms, fractional coordinates:
Cs 0.0000 0.0000 0.0000 [1 per cell]  12 In 3.72
In 0.0000 0.5000 0.5000 [3 per cell]  2 Pd 2.63
Pd 0.5000 0.5000 0.5000 [1 per cell]  6 In 2.63

=====

No. 2
VASP calculation (PBEsol) on a relaxed K4ReAs crystal.

Properties
ΔE_f (eV/atom): 1.337

Lattice parameters (Å, degrees): 9.0667 9.0667 9.0667 90.00 90.00 90.00
Last column: nearest neighbours and their distance in Å.
Space group F-43m (No. 216)
Inequivalent atoms, fractional coordinates:
K 0.1237 0.1237 0.1237 [16 per cell]  6 K 3.17-3.24
Re 0.0000 0.0000 0.5000 [4 per cell]  12 K 3.76, 4 As 3.93
As 0.2500 0.2500 0.7500 [4 per cell]  12 K 3.76, 4 Re 3.93

=====

No. 3
VASP calculation (PBEsol) on a relaxed Tl2CdCl crystal.

Properties
Formation energy without anion corrections (meV/atom): -327
Excess energy over the best structure of this formula in the dataset (kJ/mol of atoms): 0.0

Lattice parameters (Å, degrees): 3.9778 6.0197 4.6516 90.00 90.00 90.00
Last column: nearest neighbours and their distance in Å.
Space group Pmm2 (No. 25)
Inequivalent atoms, fractional coordinates:
Tl 0.0000 0.0000 0.0000 [1 per cell]  2 Cd 3.01, 4 Cl 3.06
Tl 0.5000 0.5000 0.4992 [1 per cell]  2 Cl 3.01, 4 Cd 3.06
Cd 0.0000 0.5000 0.9989 [1 per cell]  6 Tl 3.01-3.06
Cl 0.5000 0.0000 0.5001 [1 per cell]  6 Tl 3.01-3.06

=====

No. 4
VASP calculation (PBEsol) on a relaxed InIr2Rh crystal.

Properties
ΔE_f (eV/atom): -0.003

Lattice parameters (Å, degrees): 9.0511 2.8178 4.8289 90.00 100.56 90.00
Last column: nearest neighbours and their distance in Å.
Space group Cm (No. 8)
Inequivalent atoms, fractional coordinates:
In 0.0000 0.0000 0.0000 [2 per cell]  3 Rh 2.71-2.76, 7 Ir 2.79-2.84, 2 In 2.82
Ir 0.2543 0.5000 0.2924 [2 per cell]  4 Rh 2.66-2.94, 5 Ir 2.66-2.82, 3 In 2.84
Ir 0.4990 0.0000 0.4990 [2 per cell]  5 Ir 2.66-2.82, 3 Rh 2.75-2.79, 4 In 2.79-2.80
Rh 0.2474 0.0000 0.7558 [2 per cell]  7 Ir 2.66-2.94, 3 In 2.71-2.76, 2 Rh 2.82

=====

No. 5
VASP calculation (PBEsol) on a relaxed Tl2Si2Cl crystal.

Properties
Formation energy without anion corrections (meV/atom): -63

Lattice parameters (Å, degrees): 3.4584 3.4584 19.9177 90.00 90.00 90.00
Last column: nearest neighbours and their distance in Å.
Space group I4/mmm (No. 139)
Inequivalent atoms, fractional coordinates:
Tl 0.0000 0.0000 0.1017 [4 per cell]  4 Cl 3.17, 4 Si 3.42, 4 Tl 3.46
Si 0.0000 0.5000 0.2500 [4 per cell]  4 Si 2.45
Cl 0.0000 0.0000 0.5000 [2 per cell]  8 Tl 3.17, 4 Cl 3.46

=====

No. 6
VASP calculation (PBEsol) on a relaxed CrHgIr2 crystal.

Properties
ΔE_f (eV/atom): 0.435

Lattice parameters (Å, degrees): 5.5747 7.5890 2.8539 90.00 90.00 90.00
Last column: nearest neighbours and their distance in Å.
Space group Cmmm (No. 65)
Inequivalent atoms, fractional coordinates:
Cr 0.0000 0.0000 0.0000 [2 per cell]  8 Ir 2.75, 2 Hg 2.79, 2 Cr 2.85
Hg 0.0000 0.5000 0.0000 [2 per cell]  8 Ir 2.75, 2 Cr 2.79, 2 Hg 2.85
Ir 0.2500 0.2500 0.5000 [4 per cell]  4 Hg 2.75, 4 Cr 2.75, 4 Ir 2.79-2.85

=====

No. 7
VASP calculation (PBEsol) on a relaxed MnFeSiAs2 crystal.

Properties
Formation energy without anion corrections (meV/atom): 636

Lattice parameters (Å, degrees): 4.3108 4.3108 4.7494 90.00 90.00 90.00
Last column: nearest neighbours and their distance in Å.
Space group P4/mmm (No. 123)
Inequivalent atoms, fractional coordinates:
Mn 0.0000 0.0000 0.0000 [1 per cell]  2 Fe 2.37
Fe 0.0000 0.0000 0.5000 [1 per cell]  4 As 2.16, 2 Mn 2.37
Si 0.5000 0.5000 0.0000 [1 per cell]  4 Mn 3.05, 8 As 3.21
As 0.0000 0.5000 0.5000 [2 per cell]  2 Fe 2.16

=====

No. 8
VASP calculation (PBEsol) on a relaxed CoIr2Rh crystal.

Properties
Excess energy over the best structure of this formula in the dataset (kJ/mol of atoms): 40.0
ΔE_f (eV/atom): 0.417

Lattice parameters (Å, degrees): 5.9812 5.9812 5.9812 90.00 90.00 90.00
Last column: nearest neighbours and their distance in Å.
Space group Fm-3m (No. 225)
Inequivalent atoms, fractional coordinates:
Co 0.0000 0.0000 0.0000 [4 per cell]  8 Ir 2.59
Ir 0.2500 0.2500 0.2500 [8 per cell]  4 Co 2.59, 4 Rh 2.59
Rh 0.0000 0.0000 0.5000 [4 per cell]  8 Ir 2.59

=====

Summary of volume in Å³ per atom
29.1; 31.1; 27.8; 15.1; 23.8; 15.1; 17.7; 13.4
(order as listed above)